{
  "formula": "CoTeI2Br",
  "functional": "PBE",
  "state": "relaxed",
  "lattice_angstrom": [[5.357, 0.000, 0.000], [0.000, 5.357, 0.000], [0.000, 0.000, 4.944]],
  "species": ["I", "I", "Te", "Co", "Br"],
  "frac_coords": [[0.000, 0.500, 0.000], [0.500, 0.000, 0.000], [0.000, 0.000, 0.500], [0.000, 0.000, 0.000], [0.500, 0.500, 0.500]],
  "sg": "P4/mmm, No. 123",
  "relative_energy_mev_per_atom": 0,
  "dos_at_fermi_per_ev_atom": 1.5337,
  "e_form_raw_ev_per_atom": 0.32
}